[1]
{
  "formula": "KBa2La",
  "functional": "PBE-GGA",
  "state": "relaxed",
  "lattice": [[4.1317, 0.0000, 0.0000], [0.0000, 4.1317, 0.0000], [0.0000, 0.0000, 13.0372]],
  "species": ["Ba", "Ba", "K", "La"],
  "fractional_positions": [[0.0000, 0.0000, 0.7819], [0.0000, 0.0000, 0.2181], [0.5000, 0.5000, 0.5000], [0.5000, 0.5000, 0.0000]],
  "crystal_system": "tetragonal",
  "final_energy_ev_per_cell": -9.256,
  "rho_g_cm3": 3.4,
  "delta_e_f_ev_per_atom": 0.154,
  "polymorph_energy_mev_per_atom": 0
}

[2]
{
  "formula": "Nd8Te4P3Rh",
  "functional": "PBE-GGA",
  "state": "relaxed",
  "lattice": [[8.5690, 0.0000, 0.0000], [0.0000, 8.8036, 0.1578], [-4.2845, -4.2806, 6.0637]],
  "species": ["P", "P", "P", "Te", "Te", "Te", "Te", "Nd", "Nd", "Nd", "Nd", "Nd", "Nd", "Nd", "Nd", "Rh"],
  "fractional_positions": [[0.5000, 0.5000, 0.0000], [0.0000, 0.5000, 0.5000], [0.5000, 0.5000, 0.5000], [0.0000, 0.0000, 0.5000], [0.5000, 0.0000, 0.5000], [0.5000, 0.0000, 0.0000], [0.0000, 0.0000, 0.0000], [0.2369, 0.7137, 0.9768], [0.2601, 0.2863, 0.0232], [0.2620, 0.2860, 0.5240], [0.7631, 0.2863, 0.0232], [0.7399, 0.7137, 0.9768], [0.2372, 0.7139, 0.4743], [0.7380, 0.7140, 0.4760], [0.7628, 0.2861, 0.5257], [0.0000, 0.5000, 0.0000]],
  "crystal_system": "trigonal",
  "e_form_raw_mev_per_atom": -1407.4,
  "final_energy_ev_per_cell": -96.809,
  "rho_g_cm3": 6.7
}